Entry 1:
A relaxed structure of ZnPIr3, computed with PBEsol.

Structure (POSCAR):
```
ZnPIr3
1.0
4.453 0.000 0.000
0.000 4.453 0.000
0.000 0.000 4.453
Zn P Ir
1 1 3
direct
0.000 0.000 0.000 Zn
0.500 0.500 0.500 P
0.000 0.000 0.500 Ir
0.000 0.500 0.000 Ir
0.500 0.000 0.000 Ir
```

Summary:
- Calculated formation energy: 1881 meV per atom
- V: 88.28 Å³/cell
- Crystal system: cubic



Entry 2:
A relaxed structure of ZnPIr, computed with PBEsol.

Structure (POSCAR):
```
ZnPIr
1.0
0.000 2.857 2.857
2.857 0.000 2.857
2.857 2.857 0.000
Zn P Ir
1 1 1
direct
0.000 0.000 0.000 Zn
0.500 0.500 0.500 P
0.250 0.250 0.250 Ir
```

Summary:
- Calculated formation energy: -90 meV per atom
- V: 46.66 Å³/cell
- Crystal system: cubic



Entry 3:
A relaxed structure of ZrPIr2, computed with PBEsol.

Structure (POSCAR):
```
ZrPIr2
1.0
2.938 0.000 0.000
0.000 3.744 0.000
0.000 0.000 5.700
Zr P Ir
1 1 2
direct
0.000 0.000 0.000 Zr
0.500 0.500 0.654 P
0.000 0.000 0.526 Ir
0.500 0.500 0.241 Ir
```

Summary:
- Calculated formation energy: -437 meV per atom
- V: 62.70 Å³/cell
- Crystal system: orthorhombic



Entry 4:
A relaxed structure of Zr2PIr, computed with PBEsol.

Structure (POSCAR):
```
Zr2PIr
1.0
4.581 0.000 0.000
0.000 4.581 0.000
0.000 0.000 3.274
Zr P Ir
2 1 1
direct
0.000 0.500 0.000 Zr
0.500 0.000 0.000 Zr
0.000 0.000 0.500 P
0.500 0.500 0.500 Ir
```

Summary:
- Calculated formation energy: -743 meV per atom
- V: 68.71 Å³/cell
- Crystal system: tetragonal



Q: Which value of calculated formation energy does entry 3 give?
A: -437 meV per atom